This record from the Alexandria database describes Li4Pm3PaS8 after structural relaxation. The functional is PBE-GGA.

Values from the calculation:
As for the symmetry: R-3m (166).

a = 7.9741 Å, b = 7.7334 Å, c = 7.9725 Å
α = 121.05°, β = 120.01°, γ = 90.00°
Last column: nearest neighbours and their distance in Å.
Sites, in units of the cell vectors:
Li 0.5000 0.0000 0.0000  6 S 2.80
Li 0.5000 0.0000 0.5000  6 S 2.72-2.74
Li 0.0000 0.0000 0.0000  6 S 2.73-2.74
Li 0.0000 0.0000 0.5000  6 S 2.72-2.74
Pm 0.5000 0.5000 0.0000  6 S 2.81-2.83
Pm 0.5000 0.5000 0.5000  6 S 2.81-2.83
Pm 0.0000 0.5000 0.5000  6 S 2.81-2.83
Pa 0.0000 0.5000 0.0000  6 S 2.75
S 0.2480 0.7572 0.0095  3 Li 2.72-2.80, 1 Pa 2.75, 2 Pm 2.83
S 0.2480 0.7572 0.4960  3 Li 2.73-2.80, 1 Pa 2.75, 2 Pm 2.83
S 0.2466 0.2402 0.4933  3 Li 2.74, 3 Pm 2.81
S 0.7615 0.7572 0.0095  3 Li 2.72-2.80, 1 Pa 2.75, 2 Pm 2.83
S 0.2385 0.2428 0.9905  3 Li 2.72-2.80, 1 Pa 2.75, 2 Pm 2.83
S 0.7534 0.7598 0.5067  3 Li 2.74, 3 Pm 2.81
S 0.7520 0.2428 0.5040  3 Li 2.73-2.80, 1 Pa 2.75, 2 Pm 2.83
S 0.7520 0.2428 0.9905  3 Li 2.72-2.80, 1 Pa 2.75, 2 Pm 2.83

---

This record from the Alexandria database describes Li3Pm3PaS8 after structural relaxation. The functional is PBE-GGA.

Values from the calculation:
As for the symmetry: R-3m (166).

a = 8.0945 Å, b = 8.0936 Å, c = 7.7349 Å
α = 121.57°, β = 90.00°, γ = 120.00°
Last column: nearest neighbours and their distance in Å.
Sites, in units of the cell vectors:
Li 0.0000 0.0000 0.0000  6 S 2.77-2.78
Li 0.0000 0.5000 0.0000  6 S 2.77-2.78
Li 0.5000 0.5000 0.0000  6 S 2.77-2.78
Pm 0.5000 0.0000 0.5000  6 S 2.82-2.83
Pm 0.5000 0.5000 0.5000  6 S 2.82-2.83
Pm 0.0000 0.5000 0.5000  6 S 2.82-2.83
Pa 0.0000 0.0000 0.5000  6 S 2.70
S 0.2480 0.4959 0.2441  3 Li 2.78, 3 Pm 2.82
S 0.7520 0.5041 0.7559  3 Li 2.78, 3 Pm 2.82
S 0.7582 0.5164 0.2532  1 Pa 2.70, 2 Li 2.77, 2 Pm 2.83
S 0.2418 0.4836 0.7468  1 Pa 2.70, 2 Li 2.77, 2 Pm 2.83
S 0.7582 0.9948 0.2532  1 Pa 2.70, 2 Li 2.77, 2 Pm 2.83
S 0.2418 0.0052 0.7468  1 Pa 2.70, 2 Li 2.77, 2 Pm 2.83
S 0.2366 0.9948 0.2532  1 Pa 2.70, 2 Li 2.77, 2 Pm 2.83
S 0.7634 0.0052 0.7468  1 Pa 2.70, 2 Li 2.77, 2 Pm 2.83

---

Number 1: formation energy (no corrections) -1697 meV/atom, uncorrected energy -5.724 eV/atom, calculated density 4.61 g/cm³. Number 2: formation energy (no corrections) -1745 meV/atom, uncorrected energy -5.913 eV/atom, calculated density 4.48 g/cm³.